Entry 1:
A geometry-optimized LiHfTaTc structure. Source: the Alexandria database, functional PBE.

The energy of formation is -0.111 eV/atom. Its magnetization is 0.000 μB/f.u. The symmetry is No. 216. As for the mass density: 11.6 g/cm3.

```
LiHfTaTc
1.0
6.4391 0.0000 0.0000
0.0000 6.4391 0.0000
0.0000 0.0000 6.4391
Li Hf Ta Tc
4 4 4 4
direct
0.0000 0.0000 0.0000 Li
0.0000 0.5000 0.5000 Li
0.5000 0.0000 0.5000 Li
0.5000 0.5000 0.0000 Li
0.2500 0.2500 0.7500 Hf
0.2500 0.7500 0.2500 Hf
0.7500 0.2500 0.2500 Hf
0.7500 0.7500 0.7500 Hf
0.2500 0.2500 0.2500 Ta
0.2500 0.7500 0.7500 Ta
0.7500 0.2500 0.7500 Ta
0.7500 0.7500 0.2500 Ta
0.0000 0.0000 0.5000 Tc
0.0000 0.5000 0.0000 Tc
0.5000 0.0000 0.0000 Tc
0.5000 0.5000 0.5000 Tc
```

Entry 2:
A geometry-optimized TmAlTe5Pb2 structure. Source: the Alexandria database, functional PBE.

Its magnetization is 0.000 μB/f.u. The symmetry is No. 36. As for the mass density: 6.8 g/cm3. For the energy relative to the elements, uncorrected, the calculation gives -0.67 eV/atom.

```
TmAlTe5Pb2
1.0
2.1585 -9.9218 0.0000
2.1585 9.9218 0.0000
0.0000 0.0000 14.1654
Tm Al Te Pb
2 2 10 4
direct
0.1940 0.8060 0.5000 Tm
0.8060 0.1940 0.0000 Tm
0.4395 0.5605 0.8918 Al
0.5605 0.4395 0.3918 Al
0.0353 0.9647 0.5000 Te
0.3042 0.6958 0.1527 Te
0.3103 0.6897 0.8459 Te
0.3461 0.6539 0.4874 Te
0.4934 0.5066 0.2341 Te
0.5066 0.4934 0.7341 Te
0.6539 0.3461 0.9874 Te
0.6897 0.3103 0.3459 Te
0.6958 0.3042 0.6527 Te
0.9647 0.0353 0.0000 Te
0.1109 0.8891 0.8013 Pb
0.1470 0.8530 0.1443 Pb
0.8530 0.1470 0.6443 Pb
0.8891 0.1109 0.3013 Pb
```

Entry 3:
A geometry-optimized ZrSc2Cd structure. Source: the Alexandria database, functional PBE.

The energy of formation is 0.043 eV/atom. Its magnetization is 1.436 μB/f.u. The symmetry is No. 216. As for the mass density: 5.4 g/cm3.

```
ZrSc2Cd
1.0
7.1390 0.0000 0.0000
0.0000 7.1390 0.0000
0.0000 0.0000 7.1390
Zr Sc Cd
4 8 4
direct
0.0000 0.0000 0.0000 Zr
0.0000 0.5000 0.5000 Zr
0.5000 0.0000 0.5000 Zr
0.5000 0.5000 0.0000 Zr
0.0000 0.0000 0.5000 Sc
0.0000 0.5000 0.0000 Sc
0.2500 0.2500 0.2500 Sc
0.2500 0.7500 0.7500 Sc
0.5000 0.0000 0.0000 Sc
0.5000 0.5000 0.5000 Sc
0.7500 0.2500 0.7500 Sc
0.7500 0.7500 0.2500 Sc
0.2500 0.2500 0.7500 Cd
0.2500 0.7500 0.2500 Cd
0.7500 0.2500 0.2500 Cd
0.7500 0.7500 0.7500 Cd
```

Entry 4:
A geometry-optimized ZrScReAg2 structure. Source: the Alexandria database, functional PBE.

The energy of formation is 1.124 eV/atom. Its magnetization is 1.314 μB/f.u. The symmetry is No. 123. As for the mass density: 7.4 g/cm3.

```
ZrScReAg2
1.0
5.0887 0.0000 0.0000
0.0000 5.0887 0.0000
0.0000 0.0000 4.6792
Zr Sc Re Ag
1 1 1 2
direct
0.0000 0.0000 0.0000 Zr
0.5000 0.5000 0.0000 Sc
0.5000 0.5000 0.5000 Re
0.0000 0.5000 0.5000 Ag
0.5000 0.0000 0.5000 Ag
```

Entry 5:
A geometry-optimized Ni14IrW structure. Source: the Alexandria database, functional PBE.

The energy of formation is 0.010 eV/atom. Its magnetization is 6.583 μB/f.u. The symmetry is No. 38. As for the mass density: 10.8 g/cm3.

```
Ni14IrW
1.0
8.2311 0.0000 0.0000
0.0000 2.5557 4.3860
0.0000 -2.5557 4.3860
Ni Ir W
14 1 1
direct
0.0000 0.0000 0.0000 Ni
0.0000 0.9997 0.4996 Ni
0.0000 0.4996 0.9997 Ni
0.0000 0.4998 0.4998 Ni
0.2455 0.1703 0.6680 Ni
0.2455 0.6680 0.1703 Ni
0.2456 0.6677 0.6677 Ni
0.2476 0.1687 0.1687 Ni
0.5000 0.3345 0.8349 Ni
0.5000 0.8349 0.3345 Ni
0.7524 0.1687 0.1687 Ni
0.7544 0.6677 0.6677 Ni
0.7545 0.1703 0.6680 Ni
0.7545 0.6680 0.1703 Ni
0.5000 0.8344 0.8344 Ir
0.5000 0.3350 0.3350 W
```

Entry 6:
A geometry-optimized Mg2BAsPd6 structure. Source: the Alexandria database, functional PBE.

The energy of formation is -0.470 eV/atom. Its magnetization is 0.000 μB/f.u. The symmetry is No. 2. As for the mass density: 8.0 g/cm3.

```
Mg2BAsPd6
1.0
5.5150 0.0000 0.0000
2.3935 5.2094 0.0000
1.7739 1.1226 5.5831
Mg B As Pd
2 1 1 6
direct
0.2010 0.3105 0.2810 Mg
0.7990 0.6895 0.7190 Mg
0.0000 0.0000 0.0000 B
0.5000 0.5000 0.5000 As
0.1340 0.8516 0.3202 Pd
0.2774 0.6640 0.8753 Pd
0.3095 0.1660 0.8261 Pd
0.6905 0.8340 0.1739 Pd
0.7226 0.3360 0.1247 Pd
0.8660 0.1484 0.6798 Pd
```

Entry 7:
A geometry-optimized Pm2Te2O structure. Source: the Alexandria database, functional PBE.

Its magnetization is 0.000 μB/f.u. The symmetry is No. 36. As for the mass density: 6.7 g/cm3. For the energy relative to the elements, uncorrected, the calculation gives -2.05 eV/atom.

```
Pm2Te2O
1.0
2.0553 -9.8306 0.0000
2.0553 9.8306 0.0000
0.0000 0.0000 6.9182
Pm Te O
4 4 2
direct
0.0794 0.9206 0.5000 Pm
0.3355 0.6645 0.3960 Pm
0.6645 0.3355 0.8960 Pm
0.9206 0.0794 0.0000 Pm
0.2978 0.7022 0.9076 Te
0.4691 0.5309 0.6698 Te
0.5309 0.4691 0.1698 Te
0.7022 0.2978 0.4076 Te
0.1281 0.8719 0.7923 O
0.8719 0.1281 0.2923 O
```

Entry 8:
A geometry-optimized Rb4PuPa3N8 structure. Source: the Alexandria database, functional PBE.

Its magnetization is 3.000 μB/f.u. The symmetry is No. 166. As for the mass density: 7.6 g/cm3. For the energy relative to the elements, uncorrected, the calculation gives -1.01 eV/atom.

```
Rb4PuPa3N8
1.0
3.6094 2.0839 6.7249
-3.6094 2.0839 6.7249
0.0000 -4.1678 6.7249
Rb Pu Pa N
4 1 3 8
direct
0.0000 0.0000 0.0000 Rb
0.0000 0.5000 0.5000 Rb
0.5000 0.0000 0.5000 Rb
0.5000 0.5000 0.0000 Rb
0.5000 0.5000 0.5000 Pu
0.0000 0.0000 0.5000 Pa
0.0000 0.5000 0.0000 Pa
0.5000 0.0000 0.0000 Pa
0.2170 0.2170 0.2170 N
0.2201 0.7150 0.7150 N
0.2850 0.2850 0.7799 N
0.2850 0.7799 0.2850 N
0.7150 0.2201 0.7150 N
0.7150 0.7150 0.2201 N
0.7799 0.2850 0.2850 N
0.7830 0.7830 0.7830 N
```

Copy entry 5 word for word.
A geometry-optimized Ni14IrW structure. Source: the Alexandria database, functional PBE.

The energy of formation is 0.010 eV/atom. Its magnetization is 6.583 μB/f.u. The symmetry is No. 38. As for the mass density: 10.8 g/cm3.

```
Ni14IrW
1.0
8.2311 0.0000 0.0000
0.0000 2.5557 4.3860
0.0000 -2.5557 4.3860
Ni Ir W
14 1 1
direct
0.0000 0.0000 0.0000 Ni
0.0000 0.9997 0.4996 Ni
0.0000 0.4996 0.9997 Ni
0.0000 0.4998 0.4998 Ni
0.2455 0.1703 0.6680 Ni
0.2455 0.6680 0.1703 Ni
0.2456 0.6677 0.6677 Ni
0.2476 0.1687 0.1687 Ni
0.5000 0.3345 0.8349 Ni
0.5000 0.8349 0.3345 Ni
0.7524 0.1687 0.1687 Ni
0.7544 0.6677 0.6677 Ni
0.7545 0.1703 0.6680 Ni
0.7545 0.6680 0.1703 Ni
0.5000 0.8344 0.8344 Ir
0.5000 0.3350 0.3350 W
```

> The highest mass density belongs to which entry?

LiHfTaTc